No. 1
Below is crystalline Tb4Nd5Tm at its relaxed geometry, with properties calculated at the PBE level.

Calculated values
The energy above the most stable polymorph in this dataset comes out at 0 meV per atom. The final energy is -4.625 eV/atom.

a b c (Å): 3.580 8.991 11.540
angles (deg): 112.33 90.87 100.77
Space group P-1 (No. 2)
Asymmetric unit:
Tb 0.107 0.207 0.117 [2 per cell]
Tb 0.245 0.412 0.716 [2 per cell]
Nd 0.000 0.000 0.500 [1 per cell]
Nd 0.339 0.695 0.578 [2 per cell]
Nd 0.471 0.891 0.189 [2 per cell]
Tm 0.000 0.500 0.000 [1 per cell]

---

No. 2
Below is crystalline Mo2AsOs at its relaxed geometry, with properties calculated at the PBE level.

Calculated values
The final energy is -9.191 eV/atom.

a b c (Å): 3.758 3.758 8.541
angles (deg): 90.00 90.00 90.00
Space group I4/mmm (No. 139)
Asymmetric unit:
Mo 0.000 0.500 0.250 [4 per cell]
As 0.000 0.000 0.000 [2 per cell]
Os 0.000 0.000 0.500 [2 per cell]

---

No. 3
Below is crystalline Ti8CoSb2 at its relaxed geometry, with properties calculated at the PBE level.

Calculated values
Its formation energy (no corrections) is -27.4 kJ/mol of atoms. The final energy is -7.422 eV/atom.

a b c (Å): 15.075 4.685 5.303
angles (deg): 90.00 94.22 90.00
Space group C2/m (No. 12)
Asymmetric unit:
Ti 0.041 0.000 0.266 [4 per cell]
Ti 0.083 0.500 0.565 [4 per cell]
Ti 0.149 0.500 0.106 [4 per cell]
Ti 0.233 0.000 0.337 [4 per cell]
Co 0.000 0.500 0.000 [2 per cell]
Sb 0.157 0.000 0.802 [4 per cell]

---

No. 4
Below is crystalline Pr2NdTcN4 at its relaxed geometry, with properties calculated at the PBE level.

Calculated values
Its formation energy (no corrections) is -83.3 kJ/mol of atoms. The final energy is -8.112 eV/atom.

a b c (Å): 3.548 12.142 12.181
angles (deg): 90.00 90.00 90.00
Space group Cmcm (No. 63)
Asymmetric unit:
Pr 0.000 0.132 0.040 [8 per cell]
Nd 0.000 0.376 0.250 [4 per cell]
Tc 0.000 0.352 0.750 [4 per cell]
N 0.000 0.073 0.250 [4 per cell]
N 0.000 0.231 0.637 [8 per cell]
N 0.000 0.500 0.000 [4 per cell]

---

No. 5
Below is crystalline ZrZnAgIr at its relaxed geometry, with properties calculated at the PBE level.

Calculated values
The final energy is -5.687 eV/atom.

a b c (Å): 6.491 6.491 6.491
angles (deg): 90.00 90.00 90.00
Space group F-43m (No. 216)
Asymmetric unit:
Zr 0.000 0.000 0.000 [4 per cell]
Zn 0.000 0.000 0.500 [4 per cell]
Ag 0.250 0.250 0.750 [4 per cell]
Ir 0.250 0.250 0.250 [4 per cell]

---

No. 6
Below is crystalline TlCo2Sb at its relaxed geometry, with properties calculated at the PBE level.

Calculated values
The energy above the most stable polymorph in this dataset comes out at 234 meV per atom. Its formation energy (no corrections) is 46.9 kJ/mol of atoms. The final energy is -4.690 eV/atom.

a b c (Å): 4.226 3.253 5.291
angles (deg): 90.00 107.45 90.00
Space group P2/m (No. 10)
Asymmetric unit:
Tl 0.000 0.000 0.000 [1 per cell]
Co 0.000 0.000 0.500 [1 per cell]
Co 0.500 0.500 0.000 [1 per cell]
Sb 0.500 0.500 0.500 [1 per cell]

---

> final energy of number 3 (Ti8CoSb2)?

-7.422 eV/atom